A geometry-optimized La2Sb structure, computed with PBE.

* formation energy (no corrections): -0.633 eV/atom

a b c (Å): 4.3637 4.3637 7.0835
angles (deg): 90.00 90.00 120.00
Space group P-3m1 (No. 164)
One atom of each set of equivalent atoms:
La 0.3333 0.6667 0.2251 (multiplicity 2)
Sb 0.0000 0.0000 0.5000 (multiplicity 1)